Entry from Alexandria: a relaxed TlMoOsO6 crystal (PBE with a Hubbard U).

Cell and atoms, written as extended XYZ:
```
18
Lattice="-3.612 3.688 5.194 3.612 -3.688 5.194 3.612 3.688 -5.194" Properties=species:S:1:pos:R:3 pbc="T T T"
Tl 0.000 1.844 1.003
Tl 3.612 1.844 4.192
Mo 3.612 0.000 0.000
Mo 0.000 0.000 5.194
Os 1.806 1.844 -2.597
Os 1.806 -1.844 2.597
O 2.233 -0.478 1.267
O 4.990 -0.478 1.267
O 3.612 -1.844 3.266
O 2.233 3.210 -1.267
O 1.378 -0.478 3.927
O 3.612 1.844 0.660
O 0.000 1.844 4.534
O 2.233 4.167 1.267
O 1.378 0.478 6.462
O 0.000 5.533 1.928
O -1.378 4.167 3.927
O 1.378 4.167 3.927
```

Calculated values
Space group ... No. 74
Uncorrected energy ... -122.31 eV per cell